# 1
# LaNdSmZn

A geometry-optimized LaNdSmZn structure (GGA-PBE, Alexandria via LeMat-Bulk).

Cell lengths 5.5253, 5.5253, 5.5253 Å; angles 60.00, 60.00, 60.00 degrees
Sites, in units of the cell vectors:
La: 0.0000 0.0000 0.0000
Nd: 0.5000 0.5000 0.5000
Sm: 0.7500 0.7500 0.7500
Zn: 0.2500 0.2500 0.2500

**Energy relative to the lowest polymorph listed for this composition**: 193 meV/atom
**Energy of formation from the pure elements**: 42 meV/atom
**Total energy**: -15.5 eV for the cell shown


# 2
# Li2ZnCo

A geometry-optimized Li2ZnCo structure (GGA-PBE, Alexandria via LeMat-Bulk).

Cell lengths 2.5452, 4.3147, 4.7668 Å; angles 90.00, 90.06, 90.00 degrees
Sites, in units of the cell vectors:
Li: 0.0000 0.0000 0.0000
Li: 0.4970 0.5000 0.8174
Zn: 0.5004 0.0000 0.4673
Co: 0.9992 0.5000 0.3318

**Energy of formation from the pure elements**: 25 meV/atom
**Total energy**: -12.1 eV for the cell shown